# KAl2CrOs

A relaxed KAl2CrOs crystal (PBE-GGA, Alexandria via LeMat-Bulk).

a = 4.8768 Å, b = 5.2520 Å, c = 4.8768 Å
α = 90.00°, β = 90.00°, γ = 90.00°
Fractional coordinates of all 5 atoms:
Cr  0.0000  0.0000  0.0000
K  0.0000  0.5000  0.0000
Os  0.5000  0.5000  0.5000
Al  0.0000  0.0000  0.5000
Al  0.5000  0.0000  0.0000

## Properties
Magnetic moment: 6.632 μB/f.u.
Energy of formation: 1.771 eV/atom


# KAl2CrRe

A relaxed KAl2CrRe crystal (PBE-GGA, Alexandria via LeMat-Bulk).

a = 4.7902 Å, b = 4.5705 Å, c = 4.7902 Å
α = 90.00°, β = 90.00°, γ = 90.00°
Fractional coordinates of all 5 atoms:
Re  0.0000  0.5000  0.0000
K  0.0000  0.0000  0.0000
Al  0.0000  0.0000  0.5000
Al  0.5000  0.0000  0.0000
Cr  0.5000  0.5000  0.5000

## Properties
Magnetic moment: 0.360 μB/f.u.
Energy of formation: 3.080 eV/atom


# KAl2CrRh

A relaxed KAl2CrRh crystal (PBE-GGA, Alexandria via LeMat-Bulk).

a = 4.7626 Å, b = 5.2178 Å, c = 4.7626 Å
α = 90.00°, β = 90.00°, γ = 90.00°
Fractional coordinates of all 5 atoms:
Cr  0.0000  0.5000  0.0000
K  0.5000  0.5000  0.5000
Rh  0.0000  0.0000  0.0000
Al  0.0000  0.0000  0.5000
Al  0.5000  0.0000  0.0000

## Properties
Magnetic moment: 4.403 μB/f.u.
Energy of formation: 0.147 eV/atom


# K2AlCrS4

A relaxed K2AlCrS4 crystal (PBE-GGA, Alexandria via LeMat-Bulk).

a = 7.7410 Å, b = 7.7410 Å, c = 7.8186 Å
α = 120.33°, β = 120.33°, γ = 89.99°
Fractional coordinates of all 16 atoms:
K  0.5000  0.0000  0.0000
K  0.5000  0.0000  0.5000
K  0.0000  0.0000  0.5000
K  0.5000  0.5000  0.0000
Al  0.5000  0.5000  0.5000
Al  0.0000  0.0000  0.0000
Cr  0.0000  0.5000  0.0000
Cr  0.0000  0.5000  0.5000
S  0.1843  0.7277  0.9560
S  0.7723  0.3157  0.5440
S  0.2277  0.6843  0.4560
S  0.8157  0.2723  0.0440
S  0.7714  0.7287  0.9582
S  0.7713  0.7286  0.5418
S  0.2287  0.2714  0.4582
S  0.2286  0.2713  0.0418

## Properties
Raw formation energy: -7.45 eV/f.u.
Magnetic moment: 2.995 μB/f.u.


# K2ScAlCr

A relaxed K2ScAlCr crystal (PBE-GGA, Alexandria via LeMat-Bulk).

a = 6.3984 Å, b = 5.4333 Å, c = 6.3984 Å
α = 90.00°, β = 90.00°, γ = 90.00°
Fractional coordinates of all 5 atoms:
Sc  0.0000  0.5000  0.0000
Cr  0.5000  0.5000  0.5000
K  0.0000  0.0000  0.5000
K  0.5000  0.0000  0.0000
Al  0.0000  0.0000  0.0000

## Properties
Magnetic moment: 4.904 μB/f.u.
Energy of formation: 1.068 eV/atom


# K2AlCr2Se6

A relaxed K2AlCr2Se6 crystal (PBE-GGA, Alexandria via LeMat-Bulk).

a = 6.3963 Å, b = 6.3963 Å, c = 8.1654 Å
α = 97.51°, β = 97.51°, γ = 120.21°
Fractional coordinates of all 11 atoms:
K  0.8341  0.1659  0.0000
K  0.1659  0.8341  0.0000
Al  0.0000  0.0000  0.5000
Cr  0.3320  0.6680  0.5000
Cr  0.6680  0.3320  0.5000
Se  0.7219  0.7219  0.6786
Se  0.0623  0.3978  0.6801
Se  0.2781  0.2781  0.3214
Se  0.3978  0.0623  0.6801
Se  0.9377  0.6022  0.3199
Se  0.6022  0.9377  0.3199

## Properties
Raw formation energy: -8.92 eV/f.u.
Magnetic moment: 5.292 μB/f.u.


# K3AlCr2Se6

A relaxed K3AlCr2Se6 crystal (PBE-GGA, Alexandria via LeMat-Bulk).

a = 6.6683 Å, b = 6.6683 Å, c = 7.8168 Å
α = 98.17°, β = 98.17°, γ = 119.95°
Fractional coordinates of all 12 atoms:
K  0.1673  0.8327  0.5000
K  0.8327  0.1673  0.5000
K  0.5000  0.5000  0.5000
Al  0.0000  0.0000  0.0000
Cr  0.3334  0.6666  0.0000
Cr  0.6666  0.3334  0.0000
Se  0.9401  0.6055  0.8203
Se  0.7254  0.7254  0.1800
Se  0.0599  0.3945  0.1797
Se  0.6055  0.9401  0.8203
Se  0.2746  0.2746  0.8200
Se  0.3945  0.0599  0.1797

## Properties
Raw formation energy: -10.71 eV/f.u.
Magnetic moment: 5.993 μB/f.u.


# KAlCrSe4

A relaxed KAlCrSe4 crystal (PBE-GGA, Alexandria via LeMat-Bulk).

a = 6.4805 Å, b = 6.8217 Å, c = 10.3203 Å
α = 90.00°, β = 125.24°, γ = 90.00°
Fractional coordinates of all 14 atoms:
K  0.6693  0.7500  0.9400
K  0.3307  0.2500  0.0600
Al  0.2065  0.7500  0.3560
Al  0.7935  0.2500  0.6440
Cr  0.7931  0.7500  0.4619
Cr  0.2069  0.2500  0.5381
Se  0.0947  0.4976  0.6782
Se  0.9053  0.9976  0.3218
Se  0.9053  0.5024  0.3218
Se  0.0947  0.0024  0.6782
Se  0.3486  0.7500  0.1903
Se  0.6514  0.2500  0.8097
Se  0.5988  0.7500  0.6055
Se  0.4012  0.2500  0.3945

## Properties
Raw formation energy: -4.88 eV/f.u.
Magnetic moment: 1.990 μB/f.u.


# K2AlCrTe4

A relaxed K2AlCrTe4 crystal (PBE-GGA, Alexandria via LeMat-Bulk).

a = 8.7858 Å, b = 8.7858 Å, c = 8.8684 Å
α = 120.31°, β = 120.31°, γ = 90.01°
Fractional coordinates of all 16 atoms:
K  0.5000  0.0000  0.0000
K  0.5000  0.0000  0.5000
K  0.0000  0.0000  0.5000
K  0.5000  0.5000  0.0000
Al  0.5000  0.5000  0.5000
Al  0.0000  0.0000  0.0000
Cr  0.0000  0.5000  0.0000
Cr  0.0000  0.5000  0.5000
Te  0.1891  0.7255  0.9573
Te  0.7745  0.3109  0.5427
Te  0.2255  0.6891  0.4573
Te  0.8109  0.2745  0.0427
Te  0.7711  0.7289  0.9637
Te  0.7711  0.7289  0.5363
Te  0.2289  0.2711  0.4637
Te  0.2289  0.2711  0.0363

## Properties
Raw formation energy: -4.22 eV/f.u.
Magnetic moment: 2.989 μB/f.u.


# KAlCrTe2

A relaxed KAlCrTe2 crystal (PBE-GGA, Alexandria via LeMat-Bulk).

a = 5.4227 Å, b = 5.6018 Å, c = 5.4227 Å
α = 90.00°, β = 90.00°, γ = 90.00°
Fractional coordinates of all 5 atoms:
Cr  0.0000  0.0000  0.0000
K  0.0000  0.5000  0.0000
Te  0.0000  0.0000  0.5000
Te  0.5000  0.0000  0.0000
Al  0.5000  0.5000  0.5000

## Properties
Raw formation energy: 1.45 eV/f.u.
Magnetic moment: 4.233 μB/f.u.


# KTiAl2Cr

A relaxed KTiAl2Cr crystal (PBE-GGA, Alexandria via LeMat-Bulk).

a = 4.8672 Å, b = 5.2254 Å, c = 4.8672 Å
α = 90.00°, β = 90.00°, γ = 90.00°
Fractional coordinates of all 5 atoms:
Cr  0.0000  0.0000  0.0000
K  0.0000  0.5000  0.0000
Al  0.0000  0.0000  0.5000
Al  0.5000  0.0000  0.0000
Ti  0.5000  0.5000  0.5000

## Properties
Magnetic moment: 3.286 μB/f.u.
Energy of formation: 1.222 eV/atom


# LaAl3Cr

A relaxed LaAl3Cr crystal (PBE-GGA, Alexandria via LeMat-Bulk).

a = 5.4448 Å, b = 5.4448 Å, c = 5.4448 Å
α = 90.00°, β = 90.00°, γ = 90.00°
Fractional coordinates of all 5 atoms:
Cr  0.5000  0.5000  0.5000
Al  0.0000  0.5000  0.0000
Al  0.0000  0.0000  0.5000
Al  0.5000  0.0000  0.0000
La  0.0000  0.0000  0.0000

## Properties
Magnetic moment: 0.944 μB/f.u.
Energy above the most stable polymorph in this dataset: 2.2206 eV per atom
Energy of formation: 2.048 eV/atom


# LaAl3Cr

A relaxed LaAl3Cr crystal (PBE-GGA, Alexandria via LeMat-Bulk).

a = 4.7103 Å, b = 4.7103 Å, c = 4.7103 Å
α = 90.00°, β = 90.00°, γ = 90.00°
Fractional coordinates of all 5 atoms:
Cr  0.0000  0.0000  0.0000
Al  0.0000  0.5000  0.0000
Al  0.0000  0.0000  0.5000
Al  0.5000  0.0000  0.0000
La  0.5000  0.5000  0.5000

## Properties
Magnetic moment: 0.000 μB/f.u.
Energy above the most stable polymorph in this dataset: 0.0000 eV per atom
Energy of formation: -0.173 eV/atom


# LaAl4Cr

A relaxed LaAl4Cr crystal (PBE-GGA, Alexandria via LeMat-Bulk).

a = 5.5267 Å, b = 5.5267 Å, c = 5.5267 Å
α = 60.00°, β = 60.00°, γ = 60.00°
Fractional coordinates of all 6 atoms:
La  0.0000  0.0000  0.0000
Al  0.8756  0.3748  0.3748
Al  0.3748  0.3748  0.8756
Al  0.3748  0.8756  0.3748
Al  0.3748  0.3748  0.3748
Cr  0.7500  0.7500  0.7500

## Properties
Magnetic moment: 3.103 μB/f.u.
Energy of formation: -0.033 eV/atom


# La3AlCr

A relaxed La3AlCr crystal (PBE-GGA, Alexandria via LeMat-Bulk).

a = 5.2596 Å, b = 5.2596 Å, c = 5.2596 Å
α = 90.00°, β = 90.00°, γ = 90.00°
Fractional coordinates of all 5 atoms:
Cr  0.0000  0.0000  0.0000
Al  0.5000  0.5000  0.5000
La  0.0000  0.5000  0.0000
La  0.0000  0.0000  0.5000
La  0.5000  0.0000  0.0000

## Properties
Magnetic moment: 0.000 μB/f.u.
Energy above the most stable polymorph in this dataset: 0.0000 eV per atom
Energy of formation: 0.217 eV/atom


# LaAlCr3

A relaxed LaAlCr3 crystal (PBE-GGA, Alexandria via LeMat-Bulk).

a = 4.6052 Å, b = 4.6052 Å, c = 4.6052 Å
α = 90.00°, β = 90.00°, γ = 90.00°
Fractional coordinates of all 5 atoms:
Cr  0.0000  0.5000  0.0000
Cr  0.0000  0.0000  0.5000
Cr  0.5000  0.0000  0.0000
Al  0.5000  0.5000  0.5000
La  0.0000  0.0000  0.0000

## Properties
Magnetic moment: 6.034 μB/f.u.
Energy above the most stable polymorph in this dataset: 1.0318 eV per atom
Energy of formation: 1.897 eV/atom


# LaAl11Cr

A relaxed LaAl11Cr crystal (PBE-GGA, Alexandria via LeMat-Bulk).

a = 5.2808 Å, b = 7.1644 Å, c = 6.9223 Å
α = 82.11°, β = 67.58°, γ = 68.92°
Fractional coordinates of all 13 atoms:
La  0.0000  0.0000  0.0000
Al  0.2832  0.2290  0.2180
Al  0.7168  0.7710  0.7820
Al  0.4988  0.7710  0.2180
Al  0.5012  0.2290  0.7820
Al  0.3712  0.6368  0.6551
Al  0.6288  0.3632  0.3449
Al  0.9738  0.3632  0.6551
Al  0.0262  0.6368  0.3449
Al  0.0000  0.5000  0.0000
Al  0.5000  0.0000  0.5000
Al  0.0000  0.0000  0.5000
Cr  0.5000  0.5000  0.0000

## Properties
Magnetic moment: 0.783 μB/f.u.
Energy of formation: -0.179 eV/atom


# LaAl2Cr2

A relaxed LaAl2Cr2 crystal (PBE-GGA, Alexandria via LeMat-Bulk).

a = 7.6854 Å, b = 7.6854 Å, c = 2.8317 Å
α = 90.00°, β = 90.00°, γ = 90.00°
Fractional coordinates of all 10 atoms:
Cr  0.3454  0.8454  0.0000
Cr  0.8454  0.6546  0.0000
Cr  0.6546  0.1546  0.0000
Cr  0.1546  0.3454  0.0000
Al  0.1331  0.6331  0.5000
Al  0.6331  0.8669  0.5000
Al  0.8669  0.3669  0.5000
Al  0.3669  0.1331  0.5000
La  0.0000  0.0000  0.0000
La  0.5000  0.5000  0.0000

## Properties
Magnetic moment: 0.000 μB/f.u.
Energy above the most stable polymorph in this dataset: 0.1245 eV per atom
Energy of formation: 0.224 eV/atom


# LaAl2Cr2

A relaxed LaAl2Cr2 crystal (PBE-GGA, Alexandria via LeMat-Bulk).

a = 4.3889 Å, b = 4.3889 Å, c = 5.8709 Å
α = 68.05°, β = 68.05°, γ = 90.00°
Fractional coordinates of all 5 atoms:
Cr  0.4053  0.4053  0.1894
Cr  0.5947  0.5947  0.8106
Al  0.7500  0.2500  0.5000
Al  0.2500  0.7500  0.5000
La  0.0000  0.0000  0.0000

## Properties
Magnetic moment: 0.000 μB/f.u.
Energy above the most stable polymorph in this dataset: 0.0000 eV per atom
Energy of formation: 0.100 eV/atom


# LaAlCr3

A relaxed LaAlCr3 crystal (PBE-GGA, Alexandria via LeMat-Bulk).

a = 4.7589 Å, b = 4.7589 Å, c = 4.7589 Å
α = 90.00°, β = 90.00°, γ = 90.00°
Fractional coordinates of all 5 atoms:
Cr  0.0000  0.5000  0.0000
Cr  0.0000  0.0000  0.5000
Cr  0.5000  0.0000  0.0000
Al  0.0000  0.0000  0.0000
La  0.5000  0.5000  0.5000

## Properties
Magnetic moment: 9.977 μB/f.u.
Energy above the most stable polymorph in this dataset: 0.0000 eV per atom
Energy of formation: 0.865 eV/atom